[1]
Entry from OQMD: crystalline Sm4IBrN2 at its relaxed geometry (PBE-GGA).

Cell: 3.7076 3.7076 14.6920 Å, 90.00 90.00 120.00°
Fractional coordinates of all 8 atoms:
1 Br 0.0000 0.0000 0.5000
2 Sm 0.3333 0.6667 0.6568
3 Sm 0.3333 0.6667 0.3432
4 Sm 0.0000 0.0000 0.8320
5 I 0.3333 0.6667 0.0000
6 Sm 0.0000 0.0000 0.1680
7 N 0.6667 0.3333 0.2597
8 N 0.6667 0.3333 0.7403

Computed properties:
- raw total energy (eV/f.u.) = -49.4
- total magnetization (μB/f.u.) = 0.00


[2]
Entry from OQMD: crystalline Sm4I2Br3N at its relaxed geometry (PBE-GGA).

Cell: 9.5160 9.5160 8.3123 Å, 102.35 102.35 23.54°
Fractional coordinates of all 10 atoms:
1 N 0.5000 0.5000 0.0000
2 Sm 0.0006 0.0006 0.7994
3 Br 0.5000 0.5000 0.5000
4 Sm 0.9994 0.9994 0.2006
5 Br 0.8414 0.8414 0.6608
6 Sm 0.6326 0.6326 0.0699
7 Br 0.1586 0.1586 0.3392
8 I 0.1716 0.1716 0.8072
9 Sm 0.3674 0.3674 0.9301
10 I 0.8284 0.8284 0.1928

Computed properties:
- raw total energy (eV/f.u.) = -50.2
- total magnetization (μB/f.u.) = 0.00


What is the total magnetization in the second record?
0.00 μB/f.u.